Record 1
A geometry-optimized SrRh2F8 structure, computed with PBE.

Results
**DFT total energy**: -4.720 eV per atom
**Formation energy (no corrections)**: -1.870 eV per atom
**Magnetization**: 6.04 μB/f.u.
**ρ**: 3.9 g/cm³

Lattice parameters (Å, degrees): 7.2392 7.2392 4.1316 90.00 90.00 120.00
Space group P-3 (No. 147)
Asymmetric unit:
Sr 0.0000 0.0000 0.0000 x1
Rh 0.3333 0.6667 0.2707 x2
F 0.1719 0.8261 0.2702 x6
F 0.3333 0.6667 0.7707 x2

---

Record 2
A geometry-optimized Sr2RhF8 structure, computed with PBE.

Results
**DFT total energy**: -5.186 eV per atom
**Formation energy (no corrections)**: -2.851 eV per atom
**Magnetization**: 1.00 μB/f.u.
**ρ**: 4.0 g/cm³

Lattice parameters (Å, degrees): 10.222 7.722 4.762 90.00 110.17 90.00
Space group C2/m (No. 12)
Asymmetric unit:
Sr 0.160 0.000 0.360 x4
Rh 0.000 0.500 0.000 x2
F 0.091 0.000 0.809 x4
F 0.116 0.500 0.760 x4
F 0.127 0.325 0.258 x8

---

Record 3
A geometry-optimized SrRhF structure, computed with PBE.

Results
**DFT total energy**: -5.490 eV per atom
**Formation energy (no corrections)**: -1.856 eV per atom
**Magnetization**: 0.01 μB/f.u.
**ρ**: 6.2 g/cm³

Lattice parameters (Å, degrees): 3.616 3.616 8.634 90.00 90.00 90.00
Space group P4/nmm (No. 129, origin choice 2)
Asymmetric unit:
Sr 0.250 0.250 0.199 x2
Rh 0.250 0.750 0.500 x2
F 0.250 0.250 0.898 x2

---

Record 4
A geometry-optimized SrRhF3 structure, computed with PBE.

Results
**DFT total energy**: -4.787 eV per atom
**Formation energy (no corrections)**: -1.858 eV per atom
**Magnetization**: 2.00 μB/f.u.
**ρ**: 3.9 g/cm³

Lattice parameters (Å, degrees): 4.713 4.713 4.713 90.00 90.00 90.00
Space group Pm-3m (No. 221)
Asymmetric unit:
Sr 0.000 0.000 0.000 x1
Rh 0.500 0.500 0.500 x1
F 0.000 0.000 0.500 x3

---

Record 5
A geometry-optimized SrRhF structure, computed with PBE.

Results
**DFT total energy**: -4.676 eV per atom
**Formation energy (no corrections)**: -1.041 eV per atom
**Magnetization**: 0.00 μB/f.u.
**ρ**: 5.1 g/cm³

Lattice parameters (Å, degrees): 4.3076 4.3076 8.4997 90.00 90.00 120.00
Space group P6_3/mmc (No. 194)
Asymmetric unit:
Sr 0.3333 0.6667 0.2500 x2
Rh 0.0000 0.0000 0.0000 x2
F 0.0000 0.0000 0.2500 x2

---

Record 6
A geometry-optimized Sr2RhF7 structure, computed with PBE.

Results
**DFT total energy**: -5.368 eV per atom
**Formation energy (no corrections)**: -2.987 eV per atom
**Magnetization**: 0.18 μB/f.u.
**ρ**: 4.7 g/cm³

Lattice parameters (Å, degrees): 5.599 11.706 8.946 90.00 90.69 90.00
Space group P2_1/c (No. 14)
Asymmetric unit:
Sr 0.224 0.058 0.149 x4
Sr 0.230 0.704 0.047 x4
Rh 0.311 0.134 0.688 x4
F 0.014 0.230 0.723 x4
F 0.106 0.607 0.509 x4
F 0.128 0.515 0.180 x4
F 0.232 0.166 0.474 x4
F 0.388 0.552 0.867 x4
F 0.419 0.100 0.900 x4
F 0.487 0.722 0.303 x4